No. 1
An optimized crystal structure of Cu2HgMo, computed with GGA-PBE.

Output
**DFT total energy**: -17.83 eV for the cell shown
**ΔE_f**: 0.37 eV/atom

a b c (Å): 2.759 3.750 5.961
angles (deg): 90.00 90.00 90.00
Space group Pmmm (No. 47)
Unique sites:
Cu (0.000, 0.000, 0.223) (multiplicity 2)
Hg (0.500, 0.500, 0.500) (multiplicity 1)
Mo (0.500, 0.500, 0.000) (multiplicity 1)

***

No. 2
An optimized crystal structure of SmYSc2P4, computed with GGA-PBE.

Output
**DFT total energy**: -57.65 eV for the cell shown
**ΔE_f**: -1.52 eV/atom

a b c (Å): 6.759 3.918 6.783
angles (deg): 90.00 109.56 90.00
Space group P2/m (No. 10)
Unique sites:
Sm (0.000, 0.000, 0.000) (multiplicity 1)
Y (0.000, 0.500, 0.500) (multiplicity 1)
Sc (0.500, 0.000, 0.500) (multiplicity 1)
Sc (0.500, 0.500, 0.000) (multiplicity 1)
P (0.268, 0.000, 0.753) (multiplicity 2)
P (0.270, 0.500, 0.259) (multiplicity 2)